(1)
The following is a DFT calculation (GGA-PBE) of HfNb2H4 after structural relaxation.

POSCAR file:
```
HfNb2H4
1.0
-0.9741 0.4753 3.3771
1.2812 -3.2038 0.8205
5.0965 0.8960 3.2064
H Nb Hf
4 2 1
Direct
0.1709 0.1709 0.6582
0.8291 0.8291 0.3418
0.0000 0.5000 0.0000
0.5000 0.0000 0.0000
0.3353 0.3353 0.3294
0.6647 0.6647 0.6706
0.0000 0.0000 0.0000
```

## Properties
Space group: I4/mmm
Energy relative to the lowest polymorph listed for this composition in eV per formula unit: 2.52
Density of states at the Fermi level in states/eV/atom: 0.2418



(2)
The following is a DFT calculation (GGA-PBE) of K3Pu2Br9 after structural relaxation.

POSCAR file:
```
K3Pu2Br9
1.0
0.3760 -6.6600 7.7859
2.1188 -8.1300 -5.8763
10.1593 0.6295 1.2282
K Pu Br
6 4 18
Direct
0.4466 0.7500 0.0534
0.2500 0.9466 0.5534
0.9466 0.5534 0.2500
0.0534 0.4466 0.7500
0.7500 0.0534 0.4466
0.5534 0.2500 0.9466
0.1466 0.1466 0.1466
0.6466 0.6466 0.6466
0.8534 0.8534 0.8534
0.3534 0.3534 0.3534
0.7193 0.9452 0.0821
0.0548 0.9179 0.2807
0.2500 0.4060 0.0940
0.5548 0.7807 0.4179
0.5940 0.9060 0.7500
0.9060 0.7500 0.5940
0.2193 0.5821 0.4452
0.5821 0.4452 0.2193
0.9179 0.2807 0.0548
0.0821 0.7193 0.9452
0.4179 0.5548 0.7807
0.4060 0.0940 0.2500
0.7807 0.4179 0.5548
0.0940 0.2500 0.4060
0.4452 0.2193 0.5821
0.7500 0.5940 0.9060
0.9452 0.0821 0.7193
0.2807 0.0548 0.9179
```

## Properties
Space group: R-3c
Formation energy without anion corrections in meV per atom: -1588
Density of states at the Fermi level in states/eV/atom: 1.6164



(3)
The following is a DFT calculation (GGA-PBE) of CsP3Pd after structural relaxation.

POSCAR file:
```
CsP3Pd
1.0
-4.2516 1.1902 2.2315
2.1087 -0.7414 4.4131
1.3962 4.7441 0.1299
Cs P Pd
1 3 1
Direct
0.5000 0.5000 0.5000
0.0000 0.5000 0.0000
0.0000 0.0000 0.5000
0.5000 0.0000 0.0000
0.0000 0.0000 0.0000
```

## Properties
Space group: Pm-3m
Energy relative to the lowest polymorph listed for this composition in eV per formula unit: 0.00
Density of states at the Fermi level in states/eV/atom: 1.2003



(4)
The following is a DFT calculation (GGA-PBE) of SrNbBr6 after structural relaxation.

POSCAR file:
```
SrNbBr6
1.0
-2.3156 -4.1337 -5.1396
-3.4738 -5.4270 3.1034
-7.0258 0.5387 1.3188
Sr Nb Br
1 1 6
Direct
0.0000 0.0000 0.0000
0.5000 0.5000 0.0000
0.7286 0.4478 0.6974
0.7286 0.1452 0.3026
0.2714 0.8548 0.6974
0.2714 0.5522 0.3026
0.7083 0.7422 0.0000
0.2917 0.2578 0.0000
```

## Properties
Space group: C2/m
Formation energy without anion corrections in meV per atom: -1263
Density of states at the Fermi level in states/eV/atom: 0.6651



(5)
The following is a DFT calculation (GGA-PBE) of CaCoC after structural relaxation.

POSCAR file:
```
CaCoC
1.0
-1.2225 2.2620 -5.1069
1.3603 -5.5129 -0.6708
-5.0520 0.3210 3.5039
Ca C Co
4 4 4
Direct
0.6250 0.3750 0.2500
0.1250 0.3750 0.7500
0.6250 0.3750 0.7500
0.6250 0.8750 0.2500
0.0913 0.9087 0.5000
0.8413 0.1587 0.0000
0.4087 0.5913 0.5000
0.1587 0.8413 0.0000
0.1350 0.6350 0.2699
0.1150 0.1150 0.2301
0.8850 0.8850 0.7699
0.3650 0.8650 0.7301
```

## Properties
Space group: Fddd
Energy relative to the lowest polymorph listed for this composition in eV per formula unit: 1.66
Density of states at the Fermi level in states/eV/atom: 0.9336



(6)
The following is a DFT calculation (GGA-PBE) of Be5Ru after structural relaxation.

POSCAR file:
```
Be5Ru
1.0
2.1085 -3.6521 0.0000
2.1085 3.6521 0.0000
0.0000 0.0000 3.3944
Be Ru
5 1
Direct
0.5000 0.0000 0.0000
0.5000 0.5000 0.0000
0.0000 0.5000 0.0000
0.6667 0.3333 0.5000
0.3333 0.6667 0.5000
0.0000 0.0000 0.5000
```

## Properties
Space group: P6/mmm
Density of states at the Fermi level in states/eV/atom: 0.4690



(7)
The following is a DFT calculation (GGA-PBE) of Er4PuTl5 after structural relaxation.

POSCAR file:
```
Er4PuTl5
1.0
3.5473 0.0000 0.0000
0.0000 3.5473 0.0000
0.0000 0.0000 21.1454
Er Pu Tl
4 1 5
Direct
0.0000 0.0000 0.2024
0.0000 0.0000 0.4007
0.0000 0.0000 0.5993
0.0000 0.0000 0.7976
0.0000 0.0000 0.0000
0.5000 0.5000 0.1015
0.5000 0.5000 0.3011
0.5000 0.5000 0.5000
0.5000 0.5000 0.6989
0.5000 0.5000 0.8985
```

## Properties
Space group: P4/mmm
Density of states at the Fermi level in states/eV/atom: 1.8626



(8)
The following is a DFT calculation (GGA-PBE) of LiInBr2 after structural relaxation.

POSCAR file:
```
LiInBr2
1.0
3.7617 0.0000 0.0000
0.0000 4.2030 -0.0530
0.0000 1.3088 7.4693
Li Br In
1 2 1
Direct
0.5000 0.7500 0.7500
0.0000 0.8319 0.9812
0.0000 0.6681 0.5188
0.5000 0.2500 0.2500
```

## Properties
Space group: P2/m
Energy relative to the lowest polymorph listed for this composition in eV per formula unit: 0.23
Formation energy without anion corrections in meV per atom: -1009
Density of states at the Fermi level in states/eV/atom: 0.0000



(9)
The following is a DFT calculation (GGA-PBE) of BaRu3 after structural relaxation.

POSCAR file:
```
BaRu3
1.0
2.9684 0.0000 0.0000
-1.4842 2.5707 0.0000
0.0000 0.0000 9.7730
Ba Ru
1 3
Direct
0.0000 0.0000 0.0000
0.0000 0.0000 0.5000
0.6667 0.3333 0.2981
0.6667 0.3333 0.7019
```

## Properties
Space group: P-6m2
Density of states at the Fermi level in states/eV/atom: 1.1471



(10)
The following is a DFT calculation (GGA-PBE) of SmHoAlHg after structural relaxation.

POSCAR file:
```
SmHoAlHg
1.0
-3.1029 -3.4971 -2.3948
-0.9423 -4.6511 2.2520
-4.7611 -1.0568 1.9512
Al Hg Sm Ho
1 1 1 1
Direct
0.2500 0.2500 0.2500
0.7500 0.7500 0.7500
0.5000 0.5000 0.5000
0.0000 0.0000 0.0000
```

## Properties
Space group: F-43m
Energy relative to the lowest polymorph listed for this composition in eV per formula unit: 0.16
Density of states at the Fermi level in states/eV/atom: 1.1364



(11)
The following is a DFT calculation (GGA-PBE) of PrTm3Sn after structural relaxation.

POSCAR file:
```
PrTm3Sn
1.0
-0.8327 -3.1106 1.6612
10.2768 -3.6126 -1.6134
4.1803 5.9663 13.2674
Pr Tm Sn
4 12 4
Direct
0.7500 0.8393 0.9656
0.2500 0.6607 0.4656
0.7500 0.3393 0.5344
0.2500 0.1607 0.0344
0.2500 0.5964 0.0687
0.7500 0.4036 0.9313
0.2500 0.0964 0.4313
0.7500 0.9036 0.5687
0.2500 0.3786 0.7379
0.7500 0.1214 0.2379
0.2500 0.8786 0.7621
0.7500 0.6341 0.6778
0.2500 0.3659 0.3222
0.7500 0.1341 0.8222
0.7500 0.6214 0.2621
0.2500 0.8659 0.1778
0.2500 0.1219 0.6434
0.2500 0.6219 0.8566
0.7500 0.3781 0.1434
0.7500 0.8781 0.3566
```

## Properties
Space group: Pnma
Density of states at the Fermi level in states/eV/atom: 1.4631



(12)
The following is a DFT calculation (GGA-PBE) of CaTl2Ir after structural relaxation.

POSCAR file:
```
CaTl2Ir
1.0
4.7631 0.0000 0.0000
0.0000 3.4029 0.0346
0.0000 1.1984 5.8198
Tl Ir Ca
2 1 1
Direct
0.0000 0.8908 0.9779
0.0000 0.6092 0.5221
0.5000 0.7500 0.7500
0.5000 0.2500 0.2500
```

## Properties
Space group: P2/m
Density of states at the Fermi level in states/eV/atom: 0.6919



(13)
The following is a DFT calculation (GGA-PBE) of Pm2Y3Ho6Er after structural relaxation.

POSCAR file:
```
Pm2Y3Ho6Er
1.0
6.1570 0.0019 0.0082
-3.0753 5.3339 0.0082
-1.0375 -1.7964 11.5990
Pm Y Ho Er
2 3 6 1
Direct
0.3334 0.6666 0.0000
0.6666 0.3334 0.0000
0.1664 0.8336 0.5000
0.8336 0.1664 0.5000
0.5000 0.5000 0.5000
0.9157 0.5831 0.7494
0.7518 0.7518 0.2508
0.0843 0.4169 0.2506
0.5831 0.9157 0.7494
0.2482 0.2482 0.7492
0.4169 0.0843 0.2506
0.0000 0.0000 0.0000
```

## Properties
Space group: C2/m
Density of states at the Fermi level in states/eV/atom: 1.3682



(14)
The following is a DFT calculation (GGA-PBE) of TiInGa after structural relaxation.

POSCAR file:
```
TiInGa
1.0
4.0945 0.0000 0.0000
-2.0473 4.7729 0.0000
0.0000 0.0000 5.8151
Ti Ga In
2 2 2
Direct
0.5000 0.0000 0.5000
0.5000 0.0000 0.0000
0.1266 0.2532 0.2500
0.8734 0.7468 0.7500
0.1787 0.3573 0.7500
0.8213 0.6427 0.2500
```

## Properties
Space group: Cmcm
Energy relative to the lowest polymorph listed for this composition in eV per formula unit: 0.24
Density of states at the Fermi level in states/eV/atom: 0.6491



(15)
The following is a DFT calculation (GGA-PBE) of BMo4C after structural relaxation.

POSCAR file:
```
BMo4C
1.0
5.7340 0.0820 -1.5497
-3.3438 4.6588 -1.5497
-0.0413 -0.0820 5.9396
B Mo C
2 8 2
Direct
0.2471 0.2471 0.0000
0.9971 0.4971 0.5000
0.7463 0.4530 0.7067
0.2536 0.9563 0.7027
0.2030 0.9963 0.2067
0.7063 0.5036 0.2027
0.3009 0.5036 0.7973
0.7896 0.9963 0.7933
0.7463 0.0396 0.2933
0.2536 0.5509 0.2973
0.7532 0.7532 0.0000
0.5032 0.0032 0.5000
```

## Properties
Space group: I4_1md
Energy relative to the lowest polymorph listed for this composition in eV per formula unit: 0.00
Density of states at the Fermi level in states/eV/atom: 0.5457



(16)
The following is a DFT calculation (GGA-PBE) of GaAg3Pt after structural relaxation.

POSCAR file:
```
GaAg3Pt
1.0
-3.5041 -2.6031 2.7067
2.8331 -4.2624 -0.4315
2.4649 1.1986 4.3438
Ga Ag Pt
1 3 1
Direct
0.5000 0.5000 0.5000
0.0000 0.5000 0.0000
0.0000 0.0000 0.5000
0.5000 0.0000 0.0000
0.0000 0.0000 0.0000
```

## Properties
Space group: Pm-3m
Energy relative to the lowest polymorph listed for this composition in eV per formula unit: 0.00
Density of states at the Fermi level in states/eV/atom: 0.4954



(17)
The following is a DFT calculation (GGA-PBE) of RbDyCd2 after structural relaxation.

POSCAR file:
```
RbDyCd2
1.0
-1.0713 1.0700 3.5707
-3.5741 -1.3499 -0.6678
2.3973 -7.8694 3.0772
Cd Rb Dy
2 1 1
Direct
0.0000 0.0000 0.8098
0.0000 0.0000 0.1902
0.5000 0.5000 0.5000
0.5000 0.5000 0.0000
```

## Properties
Space group: P4/mmm
Density of states at the Fermi level in states/eV/atom: 0.8497



(18)
The following is a DFT calculation (GGA-PBE) of Nd2ThSc6 after structural relaxation.

POSCAR file:
```
Nd2ThSc6
1.0
3.2941 -0.0002 -0.0001
1.6461 9.3165 1.5467
1.6461 3.5314 8.7589
Nd Th Sc
2 1 6
Direct
0.1556 0.3459 0.3459
0.8476 0.6541 0.6541
0.9996 0.0000 0.0000
0.3337 0.9920 0.3379
0.6637 0.0080 0.6621
0.6637 0.6621 0.0080
0.5012 0.3287 0.6713
0.5012 0.6713 0.3287
0.3337 0.3379 0.9920
```

## Properties
Space group: Imm2
Density of states at the Fermi level in states/eV/atom: 1.7982



(19)
The following is a DFT calculation (GGA-PBE) of VTeH2 after structural relaxation.

POSCAR file:
```
VTeH2
1.0
-1.6644 0.5163 -3.9141
-3.7428 -1.5581 1.3860
-4.2922 4.4834 0.0716
H Te V
4 2 2
Direct
0.3750 0.1250 0.2500
0.3750 0.6250 0.2500
0.3750 0.6250 0.7500
0.8750 0.6250 0.7500
0.0000 0.0000 0.0000
0.7500 0.2500 0.5000
0.5000 0.5000 0.0000
0.2500 0.7500 0.5000
```

## Properties
Space group: I4_1/amd
Energy relative to the lowest polymorph listed for this composition in eV per formula unit: 0.00
Density of states at the Fermi level in states/eV/atom: 0.9000



(20)
The following is a DFT calculation (GGA-PBE) of GdZn4Co after structural relaxation.

POSCAR file:
```
GdZn4Co
1.0
5.1339 0.0000 0.0000
2.5669 4.4461 0.0000
2.5669 1.4820 4.1918
Zn Gd Co
4 1 1
Direct
0.6264 0.6264 0.1207
0.6264 0.1207 0.6264
0.6264 0.6264 0.6264
0.1207 0.6264 0.6264
0.2500 0.2500 0.2500
0.0000 0.0000 0.0000
```

## Properties
Space group: F-43m
Density of states at the Fermi level in states/eV/atom: 0.0087



(21)
The following is a DFT calculation (GGA-PBE) of LiLaSm2Te4 after structural relaxation.

POSCAR file:
```
LiLaSm2Te4
1.0
-0.7188 -1.4912 -4.1247
7.3372 -2.2214 -0.4755
-4.2797 -5.8527 2.8617
Li La Sm Te
1 1 2 4
Direct
0.5000 0.5000 0.0000
0.0000 0.0000 0.0000
0.5000 0.0000 0.5000
0.0000 0.5000 0.5000
0.5000 0.2606 0.2510
0.5000 0.7394 0.7490
0.0000 0.2602 0.7543
0.0000 0.7398 0.2457
```

## Properties
Space group: P2/m
Formation energy without anion corrections in meV per atom: -1404
Density of states at the Fermi level in states/eV/atom: 0.3841



(22)
The following is a DFT calculation (GGA-PBE) of UGa3Pd after structural relaxation.

POSCAR file:
```
UGa3Pd
1.0
3.8384 0.0000 0.0000
0.0000 6.3508 0.4646
0.0000 -0.8134 7.0851
U Ga Pd
2 6 2
Direct
0.7500 0.3722 0.5258
0.2500 0.6278 0.4742
0.7500 0.5538 0.1400
0.2500 0.2199 0.2200
0.7500 0.9455 0.2992
0.2500 0.4462 0.8600
0.2500 0.0545 0.7008
0.7500 0.7801 0.7800
0.2500 0.8210 0.0386
0.7500 0.1790 0.9614
```

## Properties
Space group: P2_1/m
Density of states at the Fermi level in states/eV/atom: 0.8872



(23)
The following is a DFT calculation (GGA-PBE) of LiErTmSn after structural relaxation.

POSCAR file:
```
LiErTmSn
1.0
5.1610 0.0000 0.0000
2.5805 4.4695 0.0000
2.5805 1.4898 4.2139
Tm Li Sn Er
1 1 1 1
Direct
0.5000 0.5000 0.5000
0.7500 0.7500 0.7500
0.2500 0.2500 0.2500
0.0000 0.0000 0.0000
```

## Properties
Space group: F-43m
Density of states at the Fermi level in states/eV/atom: 0.8656



(24)
The following is a DFT calculation (GGA-PBE) of SmSc2TcO8 after structural relaxation.

POSCAR file:
```
SmSc2TcO8
1.0
4.8927 0.0168 -0.0031
0.0476 4.8907 -0.0055
0.0043 0.0072 6.5749
Sm Sc Tc O
1 2 1 8
Direct
0.0000 0.0000 0.5000
0.5000 0.5000 0.7429
0.5000 0.5000 0.2571
0.0000 0.0000 0.0000
0.1940 0.8065 0.2066
0.7249 0.7241 0.0000
0.8060 0.1935 0.2066
0.8060 0.1935 0.7934
0.2751 0.2759 0.0000
0.1940 0.8065 0.7934
0.6795 0.6786 0.5000
0.3205 0.3214 0.5000
```

## Properties
Space group: Cmmm
Formation energy without anion corrections in meV per atom: -2577



| no. | volume (Å³/atom) | electronic total energy (eV per cell) |
| --- | --- | --- |
| 1 | 9.97 | -42.9 |
| 2 | 38.07 | -138.5 |
| 3 | 24.21 | -19.4 |
| 4 | 37.15 | -31.9 |
| 5 | 13.35 | -68.2 |
| 6 | 8.71 | -29.1 |
| 7 | 26.61 | -44.4 |
| 8 | 29.59 | -12.0 |
| 9 | 18.64 | -26.0 |
| 10 | 25.62 | -14.9 |
| 11 | 30.20 | -94.2 |
| 12 | 23.53 | -15.3 |
| 13 | 31.76 | -60.7 |
| 14 | 18.94 | -28.1 |
| 15 | 13.24 | -118.5 |
| 16 | 27.10 | -14.2 |
| 17 | 33.03 | -7.7 |
| 18 | 27.87 | -53.8 |
| 19 | 12.43 | -35.6 |
| 20 | 15.95 | -27.2 |
| 21 | 31.40 | -40.1 |
| 22 | 17.42 | -54.5 |
| 23 | 24.30 | -16.5 |
| 24 | 13.11 | -98.3 |